Entry a
First-principles (PBE-GGA) data for crystalline LiLaAg at its relaxed geometry, as listed in Alexandria.

The space group is P4/nmm (No. 129, origin choice 2) and the conventional cell measures 4.187, 4.187 and 8.527 Å, with angles of 90.00, 90.00 and 90.00 degrees. The distinct sites, in fractional coordinates, are Li at (0.250, 0.750, 0.000), La at (0.250, 0.250, 0.362) and Ag at (0.250, 0.250, 0.781).

For the magnetization, the calculation gives 0.00 μB per formula unit. The value obtained for the density is 5.64 g/cm³.

---

Entry b
First-principles (PBE-GGA) data for crystalline LiLaAg at its relaxed geometry, as listed in Alexandria.

The space group is F-43m (No. 216) and the conventional cell measures 7.074, 7.074 and 7.074 Å, with angles of 90.00, 90.00 and 90.00 degrees. The distinct sites, in fractional coordinates, are Li at (0.000, 0.000, 0.000), La at (0.000, 0.000, 0.500) and Ag at (0.250, 0.250, 0.250).

For the magnetization, the calculation gives 0.00 μB per formula unit. The value obtained for the density is 4.76 g/cm³.

---

entry a is favored, and the nearest alternative lies 0.191 eV/atom above it.

---

Entry a
First-principles (PBE-GGA) data for crystalline LiLaAg at its relaxed geometry, as listed in Alexandria.

The space group is Cmcm (No. 63) and the conventional cell measures 4.719, 11.073 and 5.698 Å, with angles of 90.00, 90.00 and 90.00 degrees. The distinct sites, in fractional coordinates, are Li at (0.000, 0.000, 0.000), La at (0.000, 0.295, 0.250) and Ag at (0.000, 0.418, 0.750).

For the magnetization, the calculation gives 0.00 μB per formula unit. The value obtained for the density is 5.66 g/cm³.

---

Entry b
First-principles (PBE-GGA) data for crystalline LiLaAg at its relaxed geometry, as listed in Alexandria.

The space group is P-6m2 (No. 187) and the conventional cell measures 4.8225, 4.8225 and 3.6715 Å, with angles of 90.00, 90.00 and 120.00 degrees. The distinct sites, in fractional coordinates, are Li at (0.0000, 0.0000, 0.0000), La at (0.3333, 0.6667, 0.5000) and Ag at (0.6667, 0.3333, 0.0000).

For the magnetization, the calculation gives 0.30 μB per formula unit. The value obtained for the density is 5.70 g/cm³.

---

Entry c
First-principles (PBE-GGA) data for crystalline LiLaAg at its relaxed geometry, as listed in Alexandria.

The space group is Imm2 (No. 44) and the conventional cell measures 3.631, 3.648 and 10.830 Å, with angles of 90.00, 90.00 and 90.00 degrees. The distinct sites, in fractional coordinates, are Li at (0.000, 0.000, 0.000), La at (0.000, 0.000, 0.707) and Ag at (0.000, 0.000, 0.397).

For the magnetization, the calculation gives 0.00 μB per formula unit. The value obtained for the density is 5.87 g/cm³.

---

entry a is favored, and the nearest alternative lies 0.036 eV/atom above it.

---

Entry a
First-principles (PBE-GGA) data for crystalline Li3La2Ag2 at its relaxed geometry, as listed in Alexandria.

The space group is Cmmm (No. 65) and the conventional cell measures 4.693, 21.118 and 3.801 Å, with angles of 90.00, 90.00 and 90.00 degrees. The distinct sites, in fractional coordinates, are Li at (0.000, 0.000, 0.000), Li at (0.000, 0.431, 0.500), La at (0.000, 0.165, 0.000) and Ag at (0.000, 0.293, 0.500).

For the magnetization, the calculation gives 0.00 μB per formula unit. The value obtained for the density is 4.53 g/cm³.

---

Entry b
First-principles (PBE-GGA) data for crystalline Li3La2Ag2 at its relaxed geometry, as listed in Alexandria.

The space group is C2/m (No. 12) and the conventional cell measures 11.068, 4.388 and 7.681 Å, with angles of 90.00, 115.09 and 90.00 degrees. The distinct sites, in fractional coordinates, are Li at (0.000, 0.000, 0.000), Li at (0.144, 0.000, 0.436), La at (0.138, 0.500, 0.771) and Ag at (0.139, 0.500, 0.197).

For the magnetization, the calculation gives 0.00 μB per formula unit. The value obtained for the density is 5.06 g/cm³.

---

entry b is favored, and the nearest alternative lies 0.068 eV/atom above it.

---

Entry a
First-principles (PBE-GGA) data for crystalline Li6LaAg6 at its relaxed geometry, as listed in Alexandria.

The space group is Immm (No. 71) and the conventional cell measures 5.616, 8.986 and 9.832 Å, with angles of 90.00, 90.00 and 90.00 degrees. The distinct sites, in fractional coordinates, are Li at (0.000, 0.000, 0.140), Li at (0.000, 0.348, 0.500), Li at (0.000, 0.500, 0.213), La at (0.000, 0.000, 0.500), Ag at (0.000, 0.290, 0.000) and Ag at (0.250, 0.250, 0.250).

For the magnetization, the calculation gives 0.00 μB per formula unit. The value obtained for the density is 5.54 g/cm³.

---

Entry b
First-principles (PBE-GGA) data for crystalline Li6LaAg6 at its relaxed geometry, as listed in Alexandria.

The space group is Immm (No. 71) and the conventional cell measures 5.344, 9.402 and 9.437 Å, with angles of 90.00, 90.00 and 90.00 degrees. The distinct sites, in fractional coordinates, are Li at (0.000, 0.232, 0.000), Li at (0.250, 0.250, 0.250), La at (0.000, 0.500, 0.500), Ag at (0.000, 0.000, 0.214), Ag at (0.000, 0.153, 0.500) and Ag at (0.000, 0.500, 0.150).

For the magnetization, the calculation gives 0.00 μB per formula unit. The value obtained for the density is 5.80 g/cm³.

---

entry a is favored, and the nearest alternative lies 0.010 eV/atom above it.

---

Entry a
First-principles (PBE-GGA) data for crystalline LiLaZnAg2 at its relaxed geometry, as listed in Alexandria.

The space group is I-4m2 (No. 119) and the conventional cell measures 4.117, 4.117 and 12.862 Å, with angles of 90.00, 90.00 and 90.00 degrees. The distinct sites, in fractional coordinates, are Li at (0.000, 0.000, 0.000), La at (0.000, 0.500, 0.750), Zn at (0.000, 0.000, 0.500) and Ag at (0.000, 0.500, 0.138).

For the magnetization, the calculation gives 0.00 μB per formula unit. The value obtained for the density is 6.51 g/cm³.

---

Entry b
First-principles (PBE-GGA) data for crystalline LiLaZnAg2 at its relaxed geometry, as listed in Alexandria.

The space group is P4/mmm (No. 123) and the conventional cell measures 4.800, 4.800 and 4.691 Å, with angles of 90.00, 90.00 and 90.00 degrees. The distinct sites, in fractional coordinates, are Li at (0.000, 0.000, 0.000), La at (0.500, 0.500, 0.500), Zn at (0.000, 0.000, 0.500) and Ag at (0.000, 0.500, 0.000).

For the magnetization, the calculation gives 0.00 μB per formula unit. The value obtained for the density is 6.56 g/cm³.

---

entry a is favored, and the nearest alternative lies 0.163 eV/atom above it.

---

Entry a
First-principles (PBE-GGA) data for crystalline La2MgAg2 at its relaxed geometry, as listed in Alexandria.

The space group is I4/mmm (No. 139) and the conventional cell measures 3.924, 3.924 and 18.716 Å, with angles of 90.00, 90.00 and 90.00 degrees. The distinct sites, in fractional coordinates, are La at (0.000, 0.000, 0.110), Mg at (0.000, 0.000, 0.500) and Ag at (0.000, 0.500, 0.250).

For the magnetization, the calculation gives 0.00 μB per formula unit. The value obtained for the density is 5.97 g/cm³.

---

Entry b
First-principles (PBE-GGA) data for crystalline La2MgAg2 at its relaxed geometry, as listed in Alexandria.

The space group is P4/mbm (No. 127) and the conventional cell measures 9.051, 9.051 and 3.501 Å, with angles of 90.00, 90.00 and 90.00 degrees. The distinct sites, in fractional coordinates, are La at (0.168, 0.332, 0.000), Mg at (0.000, 0.000, 0.000) and Ag at (0.124, 0.624, 0.500).

For the magnetization, the calculation gives 0.25 μB per formula unit. The value obtained for the density is 6.00 g/cm³.

---

Entry c
First-principles (PBE-GGA) data for crystalline La2MgAg2 at its relaxed geometry, as listed in Alexandria.

The space group is P4/mbm (No. 127) and the conventional cell measures 8.186, 8.186 and 4.172 Å, with angles of 90.00, 90.00 and 90.00 degrees. The distinct sites, in fractional coordinates, are La at (0.172, 0.328, 0.000), Mg at (0.000, 0.000, 0.500) and Ag at (0.128, 0.628, 0.500).

For the magnetization, the calculation gives 0.00 μB per formula unit. The value obtained for the density is 6.15 g/cm³.

---

entry c is favored, and the nearest alternative lies 0.234 eV/atom above it.

---

Entry a
First-principles (PBE-GGA) data for crystalline La6MgAg at its relaxed geometry, as listed in Alexandria.

The space group is R-3 (No. 148, hexagonal axes) and the conventional cell measures 9.5078, 9.5078 and 10.1999 Å, with angles of 90.00, 90.00 and 120.00 degrees. The distinct sites, in fractional coordinates, are La at (0.0292, 0.7740, 0.2167), Mg at (0.0000, 0.0000, 0.5000) and Ag at (0.0000, 0.0000, 0.0000).

For the magnetization, the calculation gives 0.00 μB per formula unit. The value obtained for the density is 6.03 g/cm³.

---

Entry b
First-principles (PBE-GGA) data for crystalline La6MgAg at its relaxed geometry, as listed in Alexandria.

The space group is I4/mmm (No. 139) and the conventional cell measures 5.358, 5.358 and 18.367 Å, with angles of 90.00, 90.00 and 90.00 degrees. The distinct sites, in fractional coordinates, are La at (0.000, 0.000, 0.248), La at (0.000, 0.500, 0.112), Mg at (0.000, 0.000, 0.000) and Ag at (0.000, 0.000, 0.500).

For the magnetization, the calculation gives 0.00 μB per formula unit. The value obtained for the density is 6.08 g/cm³.

---

entry b is favored, and the nearest alternative lies 0.062 eV/atom above it.

---

Entry a
First-principles (PBE-GGA) data for crystalline LaMgAg3 at its relaxed geometry, as listed in Alexandria.

The space group is Pm-3m (No. 221) and the conventional cell measures 5.657, 5.657 and 5.657 Å, with angles of 90.00, 90.00 and 90.00 degrees. The distinct sites, in fractional coordinates, are La at (0.000, 0.000, 0.000), Mg at (0.500, 0.500, 0.500) and Ag at (0.000, 0.000, 0.500).

For the magnetization, the calculation gives 0.00 μB per formula unit. The value obtained for the density is 4.47 g/cm³.

---

Entry b
First-principles (PBE-GGA) data for crystalline LaMgAg3 at its relaxed geometry, as listed in Alexandria.

The space group is Pm-3m (No. 221) and the conventional cell measures 5.016, 5.016 and 5.016 Å, with angles of 90.00, 90.00 and 90.00 degrees. The distinct sites, in fractional coordinates, are La at (0.000, 0.000, 0.000), Mg at (0.500, 0.500, 0.500) and Ag at (0.000, 0.500, 0.500).

For the magnetization, the calculation gives 0.00 μB per formula unit. The value obtained for the density is 6.40 g/cm³.

---

Entry c
First-principles (PBE-GGA) data for crystalline LaMgAg3 at its relaxed geometry, as listed in Alexandria.

The space group is P6_3/mmc (No. 194) and the conventional cell measures 6.8467, 6.8467 and 5.8028 Å, with angles of 90.00, 90.00 and 120.00 degrees. The distinct sites, in fractional coordinates, are La at (0.3333, 0.6667, 0.2500), Mg at (0.0000, 0.0000, 0.0000) and Ag at (0.1969, 0.3938, 0.7500).

For the magnetization, the calculation gives 0.00 μB per formula unit. The value obtained for the density is 6.86 g/cm³.

---

entry c is favored, and the nearest alternative lies 0.264 eV/atom above it.